CrNiP2O (PBE+U, optimized geometry); density = 3.93 g cm⁻³; electronic total energy = -4.75 eV/atom; D(E_F) = 0.309 states/eV per atom
1.0
4.7994 0.0000 0.0000
0.0000 4.7994 0.0000
0.0000 0.0000 3.4598
Cr Ni P O
1 1 2 1
Cartesian
0.0000 0.0000 0.0000
2.3997 2.3997 1.7299
0.0000 2.3997 0.0000
2.3997 0.0000 0.0000
0.0000 0.0000 1.7299

***

CrNiP2O (PBE+U, optimized geometry); density = 4.25 g cm⁻³; electronic total energy = -4.73 eV/atom; D(E_F) = 0.613 states/eV per atom
1.0
4.6129 0.0000 0.0000
0.0000 4.6129 0.0000
0.0000 0.0000 3.4627
Cr Ni P O
1 1 2 1
Cartesian
0.0000 0.0000 0.0000
2.3064 2.3064 1.7314
0.0000 2.3064 1.7314
2.3064 0.0000 1.7314
2.3064 2.3064 0.0000